## BaOsW2 (PBE)

Data for a geometry-optimized BaOsW2 structure. Values from VASP.

Results
Density of states at the Fermi level (states/eV/cell): 3.37
Energy above the lowest structure with this stoichiometry (meV per atom): 789
VASP energy (eV per atom): -8.183
Energy of formation (eV/atom): 1.58
Theoretical density (Mg/m³): 14.95

Structure (Quantum ESPRESSO input):
```
&SYSTEM
  ibrav = 0, nat = 4, ntyp = 3
/
ATOMIC_SPECIES
W 183.84 W.upf
Ba 137.33 Ba.upf
Os 190.23 Os.upf
CELL_PARAMETERS angstrom
-0.9022 -2.7131 1.4540
4.5702 -0.4051 2.0797
-1.4949 2.5208 3.7762
ATOMIC_POSITIONS angstrom
W 1.8340 -1.5591 1.7669
Ba -1.1985 -0.0961 2.6151
Os 1.5376 1.0579 2.9279
W 0.0000 0.0000 0.0000
```